AsIrOs2 after structural relaxation. Source: the Alexandria database, functional GGA-PBE.

Results
DOS at the Fermi energy in states/eV per cell: 4.09
Energy of formation in kJ per mole of atoms: 26.8

Geometry as extended XYZ:
```
4
Lattice="8.623 -0.018 -0.011 8.164 2.775 -0.011 8.164 1.341 2.430" Properties=species:S:1:pos:R:3 pbc="T T T"
As 12.491 2.052 1.206
Ir 18.785 3.085 1.813
Os 24.914 4.092 2.405
Os 6.190 1.017 0.598
```